1.
Computed, not measured: a relaxed structure of La8PrIn2 at the PBE level of DFT.

SG: Immm (71)
E above lowest polymorph: 0.000 eV/atom

Cell lengths 5.313, 9.187, 9.513 Å; angles 118.89, 106.24, 90.00 degrees
Positions (direct):
La  0.660  0.873  0.319
La  0.340  0.554  0.681
La  0.151  0.151  0.303
La  0.000  0.330  0.000
La  0.849  0.848  0.697
La  0.660  0.446  0.319
La  0.340  0.127  0.681
La  0.000  0.670  0.000
Pr  0.500  0.000  0.000
In  0.199  0.698  0.396
In  0.801  0.302  0.604

=====

2.
Computed, not measured: a relaxed structure of CaNpPtO6 at the PBE level of DFT.

SG: P-31c (163)
formation energy (no corrections): -19.175 eV per formula unit

Cell lengths 5.327, 5.327, 10.440 Å; angles 90.00, 90.00, 120.00 degrees
Site moments in Bohr magnetons follow the coordinates.
Positions (direct):
Ca  0.000  0.000  0.000  0.00
Ca  0.000  0.000  0.500  0.00
Np  0.667  0.333  0.250  1.25
Np  0.333  0.667  0.750  1.25
Pt  0.333  0.667  0.250  -0.01
Pt  0.667  0.333  0.750  -0.01
O  0.644  0.651  0.141  -0.04
O  0.007  0.356  0.141  -0.04
O  0.356  0.007  0.641  -0.04
O  0.993  0.644  0.859  -0.04
O  0.349  0.356  0.359  -0.04
O  0.007  0.651  0.359  -0.04
O  0.651  0.007  0.859  -0.04
O  0.644  0.993  0.359  -0.04
O  0.993  0.349  0.641  -0.04
O  0.349  0.993  0.141  -0.04
O  0.651  0.644  0.641  -0.04
O  0.356  0.349  0.859  -0.04

=====

3.
Computed, not measured: a relaxed structure of Ho3Ge4Ru2 at the PBE level of DFT.

SG: C2/m (12)
total energy: -6.396 eV/atom

Cell lengths 4.348, 5.757, 8.149 Å; angles 108.22, 90.00, 112.19 degrees
Positions (direct):
Ho  0.624  0.248  0.696
Ho  0.000  0.000  0.000
Ho  0.376  0.752  0.304
Ge  0.713  0.426  0.078
Ge  0.287  0.574  0.922
Ge  0.908  0.816  0.597
Ge  0.092  0.184  0.403
Ru  0.680  0.360  0.360
Ru  0.320  0.640  0.640

=====

4.
Computed, not measured: a relaxed structure of DySc2V at the PBE level of DFT.

SG: R-3m (166)
E above lowest polymorph: 0.374 eV/atom

Cell lengths 3.187, 3.187, 10.967 Å; angles 81.65, 81.65, 60.00 degrees
Site moments in Bohr magnetons follow the coordinates.
Positions (direct):
Sc  0.081  0.081  0.758  -0.02
Sc  0.919  0.919  0.242  -0.02
V  0.000  0.000  0.000  2.27
Dy  0.500  0.500  0.500  -0.01

=====

5.
Computed, not measured: a relaxed structure of Tm2UFe3 at the PBE level of DFT.

SG: Pnnm (58)
total energy: -7.721 eV/atom

Cell lengths 4.076, 5.036, 10.664 Å; angles 90.00, 90.00, 90.00 degrees
Site moments in Bohr magnetons follow the coordinates.
Positions (direct):
Tm  0.500  0.782  0.211  -0.21
Tm  0.000  0.718  0.711  -0.21
Tm  0.000  0.282  0.289  -0.21
Tm  0.500  0.218  0.789  -0.21
U  0.000  0.500  0.000  -1.25
U  0.500  0.000  0.500  -1.25
Fe  0.000  0.000  0.000  1.69
Fe  0.500  0.500  0.500  1.69
Fe  0.500  0.278  0.065  1.06
Fe  0.500  0.722  0.935  1.06
Fe  0.000  0.222  0.565  1.06
Fe  0.000  0.778  0.435  1.06

=====

6.
Computed, not measured: a relaxed structure of BeCdOs4 at the PBE level of DFT.

SG: F-43m (216)
total energy: -7.382 eV/atom

Cell lengths 5.171, 5.171, 5.171 Å; angles 60.00, 60.00, 60.00 degrees
Positions (direct):
Be  0.750  0.750  0.750
Cd  0.000  0.000  0.000
Os  0.874  0.375  0.375
Os  0.375  0.375  0.874
Os  0.375  0.874  0.375
Os  0.375  0.375  0.375

=====

7.
Computed, not measured: a relaxed structure of CdSn2Pt at the PBE level of DFT.

SG: I-42d (122)
total energy: -3.786 eV/atom

Cell lengths 4.621, 4.621, 9.595 Å; angles 76.07, 76.07, 90.00 degrees
Positions (direct):
Sn  0.653  0.125  0.250
Sn  0.097  0.625  0.250
Sn  0.375  0.347  0.750
Sn  0.875  0.903  0.750
Pt  0.000  0.000  0.000
Pt  0.750  0.250  0.500
Cd  0.500  0.500  0.000
Cd  0.250  0.750  0.500

=====

8.
Computed, not measured: a relaxed structure of TmPuCdOs at the PBE level of DFT.

SG: P4mm (99)
E above lowest polymorph: 0.000 eV/atom

Cell lengths 3.281, 3.281, 8.408 Å; angles 90.00, 90.00, 90.00 degrees
Site moments in Bohr magnetons follow the coordinates.
Positions (direct):
Tm  0.500  0.500  0.779  0.09
Pu  0.500  0.500  0.365  5.06
Cd  0.000  0.000  0.066  0.00
Os  0.000  0.000  0.574  -0.37